## P
## AcAs2Pd (GGA-PBE)

Data for a relaxed structure of AcAs2Pd.

The structure in CIF format:
```
data_AcAs2Pd
_chemical_formula_sum 'Ac4 As8 Pd4'
_cell_length_a 4.658
_cell_length_b 4.658
_cell_length_c 19.052
_cell_angle_alpha 90.00
_cell_angle_beta 90.00
_cell_angle_gamma 90.00
_space_group_name_H-M_alt 'P 41'
_space_group_IT_number 76
_space_group_name_Hall 'P 4w'
loop_
_atom_site_label
_atom_site_fract_x
_atom_site_fract_y
_atom_site_fract_z
Ac1 0.147 0.776 0.000
As1 0.088 0.656 0.380
As2 0.253 0.367 0.745
Pd1 0.186 0.590 0.618
```

---

## Q
## AcAs2Pd (GGA-PBE)

Data for a relaxed structure of AcAs2Pd.

The structure in CIF format:
```
data_AcAs2Pd
_chemical_formula_sum 'Ac4 As8 Pd4'
_cell_length_a 7.157
_cell_length_b 7.157
_cell_length_c 7.157
_cell_angle_alpha 90.00
_cell_angle_beta 90.00
_cell_angle_gamma 90.00
_space_group_name_H-M_alt 'F m -3 m'
_space_group_IT_number 225
_space_group_name_Hall '-F 4 2 3'
loop_
_atom_site_label
_atom_site_fract_x
_atom_site_fract_y
_atom_site_fract_z
Ac1 0.000 0.000 0.000
As1 0.250 0.250 0.250
Pd1 0.000 0.000 0.500
```

---

Short version: P, Q, most stable first.

---

## P
## AcAs2Pd (GGA-PBE)

Data for a relaxed structure of AcAs2Pd.

The structure in CIF format:
```
data_AcAs2Pd
_chemical_formula_sum 'Ac1 As2 Pd1'
_cell_length_a 3.664
_cell_length_b 3.664
_cell_length_c 6.742
_cell_angle_alpha 90.00
_cell_angle_beta 90.00
_cell_angle_gamma 90.00
_space_group_name_H-M_alt 'P 4/m m m'
_space_group_IT_number 123
_space_group_name_Hall '-P 4 2'
loop_
_atom_site_label
_atom_site_fract_x
_atom_site_fract_y
_atom_site_fract_z
Ac1 0.000 0.000 0.000
As1 0.500 0.500 0.314
Pd1 0.000 0.000 0.500
```

---

## Q
## AcAs2Pd (GGA-PBE)

Data for a relaxed structure of AcAs2Pd.

The structure in CIF format:
```
data_AcAs2Pd
_chemical_formula_sum 'Ac3 As6 Pd3'
_cell_length_a 4.4413
_cell_length_b 4.4413
_cell_length_c 16.2510
_cell_angle_alpha 90.00
_cell_angle_beta 90.00
_cell_angle_gamma 120.00
_space_group_name_H-M_alt 'R -3 m'
_space_group_IT_number 166
_space_group_name_Hall '-R 3 2"'
loop_
_atom_site_label
_atom_site_fract_x
_atom_site_fract_y
_atom_site_fract_z
Ac1 0.0000 0.0000 0.0000
As1 0.0000 0.0000 0.2159
Pd1 0.0000 0.0000 0.5000
```

---

Short version: Q, P, most stable first.

---

## P
## Ac2AsPd (GGA-PBE)

Data for a relaxed structure of Ac2AsPd.

The structure in CIF format:
```
data_Ac2AsPd
_chemical_formula_sum 'Ac2 As1 Pd1'
_cell_length_a 3.878
_cell_length_b 3.878
_cell_length_c 7.543
_cell_angle_alpha 90.00
_cell_angle_beta 90.00
_cell_angle_gamma 90.00
_space_group_name_H-M_alt 'P 4/m m m'
_space_group_IT_number 123
_space_group_name_Hall '-P 4 2'
loop_
_atom_site_label
_atom_site_fract_x
_atom_site_fract_y
_atom_site_fract_z
Ac1 0.000 0.000 0.247
As1 0.500 0.500 0.000
Pd1 0.500 0.500 0.500
```

---

## Q
## Ac2AsPd (GGA-PBE)

Data for a relaxed structure of Ac2AsPd.

The structure in CIF format:
```
data_Ac2AsPd
_chemical_formula_sum 'Ac8 As4 Pd4'
_cell_length_a 7.691
_cell_length_b 7.691
_cell_length_c 7.691
_cell_angle_alpha 90.00
_cell_angle_beta 90.00
_cell_angle_gamma 90.00
_space_group_name_H-M_alt 'F m -3 m'
_space_group_IT_number 225
_space_group_name_Hall '-F 4 2 3'
loop_
_atom_site_label
_atom_site_fract_x
_atom_site_fract_y
_atom_site_fract_z
Ac1 0.250 0.250 0.250
As1 0.000 0.000 0.000
Pd1 0.000 0.000 0.500
```

---

## R
## Ac2AsPd (GGA-PBE)

Data for a relaxed structure of Ac2AsPd.

The structure in CIF format:
```
data_Ac2AsPd
_chemical_formula_sum 'Ac6 As3 Pd3'
_cell_length_a 4.4285
_cell_length_b 4.4285
_cell_length_c 22.6889
_cell_angle_alpha 90.00
_cell_angle_beta 90.00
_cell_angle_gamma 120.00
_space_group_name_H-M_alt 'R -3 m'
_space_group_IT_number 166
_space_group_name_Hall '-R 3 2"'
loop_
_atom_site_label
_atom_site_fract_x
_atom_site_fract_y
_atom_site_fract_z
Ac1 0.0000 0.0000 0.2488
As1 0.0000 0.0000 0.0000
Pd1 0.0000 0.0000 0.5000
```

---

## S
## Ac2AsPd (GGA-PBE)

Data for a relaxed structure of Ac2AsPd.

The structure in CIF format:
```
data_Ac2AsPd
_chemical_formula_sum 'Ac6 As3 Pd3'
_cell_length_a 4.3746
_cell_length_b 4.3746
_cell_length_c 23.3637
_cell_angle_alpha 90.00
_cell_angle_beta 90.00
_cell_angle_gamma 120.00
_space_group_name_H-M_alt 'R 3 m'
_space_group_IT_number 160
_space_group_name_Hall 'R 3 -2"'
loop_
_atom_site_label
_atom_site_fract_x
_atom_site_fract_y
_atom_site_fract_z
Ac1 0.0000 0.0000 0.0000
Ac2 0.0000 0.0000 0.1700
As1 0.0000 0.0000 0.5837
Pd1 0.0000 0.0000 0.4175
```

---

Short version: R, S, P, Q, most stable first.

---

## P
## Ac2As3Pd2 (GGA-PBE)

Data for a relaxed structure of Ac2As3Pd2.

The structure in CIF format:
```
data_Ac2As3Pd2
_chemical_formula_sum 'Ac8 As12 Pd8'
_cell_length_a 4.474
_cell_length_b 19.168
_cell_length_c 7.644
_cell_angle_alpha 90.00
_cell_angle_beta 90.00
_cell_angle_gamma 90.00
_space_group_name_H-M_alt 'C m c m'
_space_group_IT_number 63
_space_group_name_Hall '-C 2c 2'
loop_
_atom_site_label
_atom_site_fract_x
_atom_site_fract_y
_atom_site_fract_z
Ac1 0.000 0.055 0.250
Ac2 0.000 0.154 0.750
As1 0.000 0.222 0.250
As2 0.000 0.435 0.043
Pd1 0.000 0.302 0.557
```

---

## Q
## Ac2As3Pd2 (GGA-PBE)

Data for a relaxed structure of Ac2As3Pd2.

The structure in CIF format:
```
data_Ac2As3Pd2
_chemical_formula_sum 'Ac4 As6 Pd4'
_cell_length_a 10.733
_cell_length_b 4.507
_cell_length_c 7.009
_cell_angle_alpha 90.00
_cell_angle_beta 105.23
_cell_angle_gamma 90.00
_space_group_name_H-M_alt 'C 1 2/m 1'
_space_group_IT_number 12
_space_group_name_Hall '-C 2y'
loop_
_atom_site_label
_atom_site_fract_x
_atom_site_fract_y
_atom_site_fract_z
Ac1 0.140 0.000 0.285
As1 0.000 0.500 0.500
As2 0.109 0.500 0.947
Pd1 0.155 0.000 0.783
```

---

Short version: P, Q, most stable first.

---

## P
## AcPmAs2 (GGA-PBE)

Data for a relaxed structure of AcPmAs2.

The structure in CIF format:
```
data_AcPmAs2
_chemical_formula_sum 'Ac1 Pm1 As2'
_cell_length_a 3.762
_cell_length_b 3.762
_cell_length_c 7.547
_cell_angle_alpha 90.00
_cell_angle_beta 90.00
_cell_angle_gamma 90.00
_space_group_name_H-M_alt 'P 4/m m m'
_space_group_IT_number 123
_space_group_name_Hall '-P 4 2'
loop_
_atom_site_label
_atom_site_fract_x
_atom_site_fract_y
_atom_site_fract_z
Ac1 0.000 0.000 0.000
Pm1 0.000 0.000 0.500
As1 0.500 0.500 0.265
```

---

## Q
## AcPmAs2 (GGA-PBE)

Data for a relaxed structure of AcPmAs2.

The structure in CIF format:
```
data_AcPmAs2
_chemical_formula_sum 'Ac2 Pm2 As4'
_cell_length_a 4.3541
_cell_length_b 4.3541
_cell_length_c 14.5389
_cell_angle_alpha 90.00
_cell_angle_beta 90.00
_cell_angle_gamma 120.00
_space_group_name_H-M_alt 'P 63/m m c'
_space_group_IT_number 194
_space_group_name_Hall '-P 6c 2c'
loop_
_atom_site_label
_atom_site_fract_x
_atom_site_fract_y
_atom_site_fract_z
Ac1 0.3333 0.6667 0.2500
Pm1 0.0000 0.0000 0.0000
As1 0.3333 0.6667 0.6157
```

---

Short version: Q, P, most stable first.